(1)
Pr2TlN | PBE-GGA | relaxed

Values from the calculation:
DOS at the Fermi energy in states/eV per cell: 4.2
Magnetization in μB/f.u.: 0.000
Formation energy (no corrections) in kJ/mol of formula units: -309
Symmetry: C2/m, No. 12
Electronic total energy in eV/cell: -23.458

Cell: 3.701 3.701 8.671 Å, 103.90 103.90 61.08°
Sites, in units of the cell vectors:
Pr1 0.233 0.233 0.169
Pr2 0.767 0.767 0.831
Tl1 0.000 0.000 0.500
N1 0.500 0.500 0.000



(2)
CdGaN2F | PBE-GGA | relaxed

Values from the calculation:
DOS at the Fermi energy in states/eV per cell: 1.9
Distance to the lowest polymorph of the same formula in meV/atom: 698
Magnetization in μB/f.u.: 3.495
Formation energy (no corrections) in kJ/mol of formula units: 454
Symmetry: P4/mmm, No. 123
Electronic total energy in eV/cell: -17.756

Cell: 4.347 4.347 4.600 Å, 90.00 90.00 90.00°
Sites, in units of the cell vectors:
Cd1 0.000 0.000 0.000
Ga1 0.500 0.500 0.500
N1 0.000 0.500 0.000
N2 0.500 0.000 0.000
F1 0.000 0.000 0.500



(3)
LaY2V | PBE-GGA | relaxed

Values from the calculation:
DOS at the Fermi energy in states/eV per cell: 5.8
Distance to the lowest polymorph of the same formula in meV/atom: 16
Magnetization in μB/f.u.: 3.013
Symmetry: Fm-3m, No. 225
Electronic total energy in eV/cell: -25.483
Energy of formation in meV per atom: 373

Cell: 5.459 5.459 5.459 Å, 60.00 60.00 60.00°
Sites, in units of the cell vectors:
La1 0.000 0.000 0.000
Y1 0.250 0.250 0.250
Y2 0.750 0.750 0.750
V1 0.500 0.500 0.500



(4)
TlCrBr | PBE-GGA | relaxed

Values from the calculation:
DOS at the Fermi energy in states/eV per cell: 1.9
Distance to the lowest polymorph of the same formula in meV/atom: 201
Magnetization in μB/f.u.: 5.036
Formation energy (no corrections) in kJ/mol of formula units: 99
Symmetry: F-43m, No. 216
Electronic total energy in eV/cell: -12.640

Cell: 4.973 4.973 4.973 Å, 60.00 60.00 60.00°
Sites, in units of the cell vectors:
Tl1 0.000 0.000 0.000
Cr1 0.750 0.750 0.750
Br1 0.500 0.500 0.500



(5)
Ca2Hg2Pd | PBE-GGA | relaxed

Values from the calculation:
DOS at the Fermi energy in states/eV per cell: 7.1
Distance to the lowest polymorph of the same formula in meV/atom: 121
Magnetization in μB/f.u.: 0.000
Symmetry: P4/mbm, No. 127
Electronic total energy in eV/cell: -24.075
Energy of formation in meV per atom: -448

Cell: 7.531 7.531 4.511 Å, 90.00 90.00 90.00°
Sites, in units of the cell vectors:
Ca1 0.174 0.326 0.000
Ca2 0.326 0.826 0.000
Ca3 0.674 0.174 0.000
Ca4 0.826 0.674 0.000
Hg1 0.137 0.637 0.500
Hg2 0.363 0.137 0.500
Hg3 0.637 0.863 0.500
Hg4 0.863 0.363 0.500
Pd1 0.000 0.000 0.500
Pd2 0.500 0.500 0.500



(6)
Hf6SnC | PBE-GGA | relaxed

Values from the calculation:
DOS at the Fermi energy in states/eV per cell: 5.4
Magnetization in μB/f.u.: 0.000
Symmetry: R-3, No. 148
Electronic total energy in eV/cell: -75.606
Energy of formation in meV per atom: -332

Cell: 5.569 5.569 5.569 Å, 100.76 100.76 100.76°
Sites, in units of the cell vectors:
Hf1 0.092 0.670 0.763
Hf2 0.237 0.908 0.330
Hf3 0.330 0.237 0.908
Hf4 0.670 0.763 0.092
Hf5 0.763 0.092 0.670
Hf6 0.908 0.330 0.237
Sn1 0.500 0.500 0.500
C1 0.000 0.000 0.000



(7)
Sc2CdRh | PBE-GGA | relaxed

Values from the calculation:
DOS at the Fermi energy in states/eV per cell: 2.2
Magnetization in μB/f.u.: 0.000
Symmetry: Pmmm, No. 47
Electronic total energy in eV/cell: -23.557
Energy of formation in meV per atom: -657

Cell: 3.244 3.327 7.215 Å, 90.00 90.00 90.00°
Sites, in units of the cell vectors:
Sc1 0.000 0.000 0.219
Sc2 0.000 0.000 0.781
Cd1 0.500 0.500 0.500
Rh1 0.500 0.500 0.000



(8)
Ac3Sn4Rh4 | PBE-GGA | relaxed

Values from the calculation:
DOS at the Fermi energy in states/eV per cell: 5.6
Distance to the lowest polymorph of the same formula in meV/atom: 0
Magnetization in μB/f.u.: 0.000
Symmetry: Immm, No. 71
Electronic total energy in eV/cell: -65.991
Energy of formation in meV per atom: -750

Cell: 8.870 8.870 8.870 Å, 151.87 126.32 61.69°
Sites, in units of the cell vectors:
Ac1 0.000 0.000 0.000
Ac2 0.383 0.883 0.500
Ac3 0.617 0.117 0.500
Sn1 0.022 0.326 0.696
Sn2 0.371 0.674 0.696
Sn3 0.629 0.326 0.304
Sn4 0.978 0.674 0.304
Rh1 0.221 0.221 0.000
Rh2 0.285 0.500 0.785
Rh3 0.715 0.500 0.215
Rh4 0.779 0.779 0.000



(9)
HoErIn3 | PBE-GGA | relaxed

Values from the calculation:
DOS at the Fermi energy in states/eV per cell: 6.9
Magnetization in μB/f.u.: 0.000
Symmetry: P6_3/mmc, No. 194
Electronic total energy in eV/cell: -35.834
Energy of formation in meV per atom: -112

Cell: 7.265 7.265 6.337 Å, 90.00 90.00 120.00°
Sites, in units of the cell vectors:
Ho1 0.333 0.667 0.250
Ho2 0.667 0.333 0.750
Er1 0.000 0.000 0.000
Er2 0.000 0.000 0.500
In1 0.202 0.404 0.750
In2 0.202 0.798 0.750
In3 0.404 0.202 0.250
In4 0.596 0.798 0.750
In5 0.798 0.202 0.250
In6 0.798 0.596 0.250



(10)
YCrReH2 | PBE-GGA | relaxed

Values from the calculation:
DOS at the Fermi energy in states/eV per cell: 3.7
Magnetization in μB/f.u.: 0.040
Symmetry: P4/mmm, No. 123
Electronic total energy in eV/cell: -30.391

Cell: 3.644 3.644 5.906 Å, 90.00 90.00 90.00°
Sites, in units of the cell vectors:
Y1 0.000 0.000 0.000
Cr1 0.500 0.500 0.500
Re1 0.000 0.000 0.500
H1 0.000 0.500 0.000
H2 0.500 0.000 0.000



(11)
La2Ag2Cl | PBE-GGA | relaxed

Values from the calculation:
DOS at the Fermi energy in states/eV per cell: 9.4
Distance to the lowest polymorph of the same formula in meV/atom: 201
Magnetization in μB/f.u.: 0.000
Formation energy (no corrections) in kJ/mol of formula units: -227
Symmetry: P4/mbm, No. 127
Electronic total energy in eV/cell: -39.513

Cell: 8.541 8.541 3.887 Å, 90.00 90.00 90.00°
Sites, in units of the cell vectors:
La1 0.171 0.329 0.000
La2 0.329 0.829 0.000
La3 0.671 0.171 0.000
La4 0.829 0.671 0.000
Ag1 0.121 0.621 0.500
Ag2 0.379 0.121 0.500
Ag3 0.621 0.879 0.500
Ag4 0.879 0.379 0.500
Cl1 0.000 0.000 0.500
Cl2 0.500 0.500 0.500



(12)
NaIn | PBE-GGA | relaxed

Values from the calculation:
DOS at the Fermi energy in states/eV per cell: 2.2
Magnetization in μB/f.u.: 0.000
Symmetry: P4_2/mnm, No. 136
Electronic total energy in eV/cell: -15.597
Energy of formation in meV per atom: 79

Cell: 6.219 6.219 6.392 Å, 90.00 90.00 90.00°
Sites, in units of the cell vectors:
Na1 0.180 0.180 0.000
Na2 0.320 0.680 0.500
Na3 0.680 0.320 0.500
Na4 0.820 0.820 0.000
In1 0.173 0.173 0.500
In2 0.327 0.673 0.000
In3 0.673 0.327 0.000
In4 0.827 0.827 0.500



(13)
PaAgAu3 | PBE-GGA | relaxed

Values from the calculation:
DOS at the Fermi energy in states/eV per cell: 10.1
Magnetization in μB/f.u.: 0.472
Symmetry: C2/m, No. 12
Electronic total energy in eV/cell: -45.921
Energy of formation in meV per atom: -156

Cell: 7.213 7.213 5.886 Å, 90.97 90.97 42.11°
Sites, in units of the cell vectors:
Pa1 0.101 0.101 0.272
Pa2 0.899 0.899 0.728
Ag1 0.310 0.310 0.010
Ag2 0.690 0.690 0.990
Au1 0.123 0.123 0.775
Au2 0.308 0.308 0.513
Au3 0.493 0.493 0.249
Au4 0.507 0.507 0.751
Au5 0.692 0.692 0.487
Au6 0.877 0.877 0.225